Fe4Co3Ni: optimized geometry, PBE.

abc: 4.0245 4.0245 5.7147
angles: 90.00 90.00 90.00
Atoms (fractional coordinates):
Fe 0.0000 0.5000 0.2479
Fe 0.0000 0.5000 0.7521
Fe 0.5000 0.0000 0.2479
Fe 0.5000 0.0000 0.7521
Co 0.0000 0.0000 0.0000
Co 0.0000 0.0000 0.5000
Co 0.5000 0.5000 0.0000
Ni 0.5000 0.5000 0.5000

Properties
Calculated density, Mg/m³: 8.23
Crystal system: tetragonal
N(E_F), states/eV per atom: 1.003
Energy of formation from the pure elements, eV per atom: -0.019